(1)
4
Lattice="-1.9869 1.9869 3.7747 1.9869 -1.9869 3.7747 1.9869 1.9869 -3.7747" Properties=species:S:1:pos:R:3 comment="PBE-GGA Mn2SbW, relaxed" dos_ef_per_ev_cell=3.4 space_group=I4/mmm e_form_raw_ev_per_fu=1.38 crystal_system=tetragonal final_energy_ev_per_cell=-34.04 pbc="T T T"
Mn 1.9869 0.0000 1.8873
Mn 0.0000 1.9869 1.8873
Sb 0.0000 0.0000 0.0000
W 0.0000 0.0000 3.7747

=====

(2)
4
Lattice="3.0119 0.0000 0.0000 0.0000 3.0119 0.0000 0.0000 0.0000 7.1923" Properties=species:S:1:pos:R:3 comment="PBE-GGA Mn2SbW, relaxed" dos_ef_per_ev_cell=3.5 space_group=P4mm e_form_raw_ev_per_fu=1.79 crystal_system=tetragonal final_energy_ev_per_cell=-33.62 pbc="T T T"
Mn 0.0000 0.0000 0.0000
Mn 1.5059 1.5059 1.5665
Sb 0.0000 0.0000 3.6751
W 1.5059 1.5059 5.8473

=====

(3)
4
Lattice="4.2448 0.0000 0.0000 0.0000 4.2448 0.0000 0.0000 0.0000 3.1672" Properties=species:S:1:pos:R:3 comment="PBE-GGA Mn2SbW, relaxed" dos_ef_per_ev_cell=2.9 space_group=P4/mmm e_form_raw_ev_per_fu=1.27 crystal_system=tetragonal final_energy_ev_per_cell=-34.14 pbc="T T T"
Mn 0.0000 2.1224 0.0000
Mn 2.1224 0.0000 0.0000
Sb 0.0000 0.0000 1.5836
W 2.1224 2.1224 1.5836

=====

(4)
4
Lattice="0.0000 3.3888 3.3888 3.3888 0.0000 3.3888 3.3888 3.3888 0.0000" Properties=species:S:1:pos:R:3 comment="PBE-GGA MnSb2W, relaxed" dos_ef_per_ev_cell=2.4 space_group=F-43m de_polymorph_ev_per_atom=0.576 e_form_raw_ev_per_fu=3.20 crystal_system=cubic final_energy_ev_per_cell=-27.17 pbc="T T T"
Mn 0.0000 0.0000 0.0000
Sb 3.3888 3.3888 3.3888
Sb 5.0832 5.0832 5.0832
W 1.6944 1.6944 1.6944

=====

(5)
4
Lattice="0.0000 3.1005 3.1005 3.1005 0.0000 3.1005 3.1005 3.1005 0.0000" Properties=species:S:1:pos:R:3 comment="PBE-GGA Mn2SbW, relaxed" dos_ef_per_ev_cell=2.6 space_group=F-43m e_form_raw_ev_per_fu=1.52 crystal_system=cubic final_energy_ev_per_cell=-33.90 pbc="T T T"
Mn 0.0000 0.0000 0.0000
Mn 1.5502 1.5502 1.5502
Sb 4.6507 4.6507 4.6507
W 3.1005 3.1005 3.1005

=====

(6)
8
Lattice="-1.8976 1.8976 9.6460 1.8976 -1.8976 9.6460 1.8976 1.8976 -9.6460" Properties=species:S:1:pos:R:3 comment="PBE-GGA MnSbW2, relaxed" dos_ef_per_ev_cell=11.4 space_group=I-42d e_form_raw_ev_per_fu=3.79 crystal_system=tetragonal final_energy_ev_per_cell=-70.81 pbc="T T T"
Mn 0.0000 0.0000 0.0000
Mn 0.0000 1.8976 4.8230
Sb 1.8976 0.0000 4.8230
Sb 0.0000 0.0000 9.6460
W 2.8464 0.9209 -2.4115
W 0.9209 0.9488 2.4115
W -0.9488 0.9767 7.2345
W 0.9767 0.9488 12.0575